1.
A geometry-optimized FeCo2Br8 structure, computed with GGA-PBE.

M_tot: 24.04 μB/cell
formation energy (no corrections): -0.29 eV per atom

```
data_FeCo2Br8
_chemical_formula_sum 'Fe2 Co4 Br16'
_cell_length_a 12.4167
_cell_length_b 9.9091
_cell_length_c 6.7154
_cell_angle_alpha 90.00
_cell_angle_beta 94.15
_cell_angle_gamma 90.00
_symmetry_space_group_name_H-M 'C 1 2/m 1'
_symmetry_Int_Tables_number 12
loop_
_symmetry_equiv_pos_as_xyz
'x,y,z'
'-x,-y,-z'
'-x,y,-z'
'x,-y,z'
'x+1/2,y+1/2,z'
'-x+1/2,-y+1/2,-z'
'-x+1/2,y+1/2,-z'
'x+1/2,-y+1/2,z'
loop_
_atom_site_label
_atom_site_type_symbol
_atom_site_fract_x
_atom_site_fract_y
_atom_site_fract_z
Fe1 Fe 0.0000 0.0000 0.0000
Co1 Co 0.2084 0.0000 0.1425
Br1 Br 0.0967 0.1828 0.2285
Br2 Br 0.1168 0.5000 0.7402
Br3 Br 0.1684 0.0000 0.7904
```



2.
A geometry-optimized FeCo2Br structure, computed with GGA-PBE.

M_tot: 6.90 μB/cell
formation energy (no corrections): 0.41 eV per atom

```
data_FeCo2Br
_chemical_formula_sum 'Fe1 Co2 Br1'
_cell_length_a 3.6332
_cell_length_b 3.6332
_cell_length_c 6.1128
_cell_angle_alpha 90.00
_cell_angle_beta 90.00
_cell_angle_gamma 120.00
_symmetry_space_group_name_H-M 'P 3 m 1'
_symmetry_Int_Tables_number 156
loop_
_symmetry_equiv_pos_as_xyz
'x,y,z'
'-y,x-y,z'
'-x+y,-x,z'
'-y,-x,z'
'-x+y,y,z'
'x,x-y,z'
loop_
_atom_site_label
_atom_site_type_symbol
_atom_site_fract_x
_atom_site_fract_y
_atom_site_fract_z
Fe1 Fe 0.0000 0.0000 0.0000
Co1 Co 0.3333 0.6667 0.8128
Co2 Co 0.6667 0.3333 0.6846
Br1 Br 0.6667 0.3333 0.2871
```



3.
A geometry-optimized FeCo2Br structure, computed with GGA-PBE.

M_tot: 5.93 μB/cell
formation energy (no corrections): 0.71 eV per atom

```
data_FeCo2Br
_chemical_formula_sum 'Fe1 Co2 Br1'
_cell_length_a 2.9923
_cell_length_b 4.1368
_cell_length_c 4.3256
_cell_angle_alpha 90.00
_cell_angle_beta 90.00
_cell_angle_gamma 90.00
_symmetry_space_group_name_H-M 'P m m m'
_symmetry_Int_Tables_number 47
loop_
_symmetry_equiv_pos_as_xyz
'x,y,z'
'-x,-y,-z'
'-x,-y,z'
'x,y,-z'
'x,-y,-z'
'-x,y,z'
'-x,y,-z'
'x,-y,z'
loop_
_atom_site_label
_atom_site_type_symbol
_atom_site_fract_x
_atom_site_fract_y
_atom_site_fract_z
Fe1 Fe 0.0000 0.0000 0.0000
Co1 Co 0.0000 0.5000 0.5000
Co2 Co 0.5000 0.5000 0.0000
Br1 Br 0.5000 0.0000 0.5000
```



4.
A geometry-optimized FeCo2Br structure, computed with GGA-PBE.

M_tot: 12.32 μB/cell
formation energy (no corrections): 0.48 eV per atom

```
data_FeCo2Br
_chemical_formula_sum 'Fe2 Co4 Br2'
_cell_length_a 7.4783
_cell_length_b 2.9281
_cell_length_c 6.9615
_cell_angle_alpha 90.00
_cell_angle_beta 116.62
_cell_angle_gamma 90.00
_symmetry_space_group_name_H-M 'C 1 2/m 1'
_symmetry_Int_Tables_number 12
loop_
_symmetry_equiv_pos_as_xyz
'x,y,z'
'-x,-y,-z'
'-x,y,-z'
'x,-y,z'
'x+1/2,y+1/2,z'
'-x+1/2,-y+1/2,-z'
'-x+1/2,y+1/2,-z'
'x+1/2,-y+1/2,z'
loop_
_atom_site_label
_atom_site_type_symbol
_atom_site_fract_x
_atom_site_fract_y
_atom_site_fract_z
Fe1 Fe 0.0000 0.0000 0.0000
Co1 Co 0.1466 0.5000 0.8372
Br1 Br 0.0000 0.0000 0.5000
```



5.
A geometry-optimized Fe2CoBr structure, computed with GGA-PBE.

M_tot: 28.30 μB/cell
formation energy (no corrections): 0.76 eV per atom
offset from the most stable computed form: 0.420 eV per atom

```
data_Fe2CoBr
_chemical_formula_sum 'Fe8 Co4 Br4'
_cell_length_a 6.0436
_cell_length_b 6.0436
_cell_length_c 6.0436
_cell_angle_alpha 90.00
_cell_angle_beta 90.00
_cell_angle_gamma 90.00
_symmetry_space_group_name_H-M 'F -4 3 m'
_symmetry_Int_Tables_number 216
_symmetry_space_group_name_Hall 'F -4 2 3'
loop_
_atom_site_label
_atom_site_type_symbol
_atom_site_fract_x
_atom_site_fract_y
_atom_site_fract_z
Fe1 Fe 0.0000 0.0000 0.0000
Fe2 Fe 0.2500 0.2500 0.2500
Co1 Co 0.2500 0.2500 0.7500
Br1 Br 0.0000 0.0000 0.5000
```



6.
A geometry-optimized Fe2CoBr structure, computed with GGA-PBE.

M_tot: 15.55 μB/cell
formation energy (no corrections): 0.43 eV per atom
offset from the most stable computed form: 0.089 eV per atom

```
data_Fe2CoBr
_chemical_formula_sum 'Fe4 Co2 Br2'
_cell_length_a 7.2548
_cell_length_b 3.1424
_cell_length_c 7.0504
_cell_angle_alpha 90.00
_cell_angle_beta 117.50
_cell_angle_gamma 90.00
_symmetry_space_group_name_H-M 'C 1 2/m 1'
_symmetry_Int_Tables_number 12
loop_
_symmetry_equiv_pos_as_xyz
'x,y,z'
'-x,-y,-z'
'-x,y,-z'
'x,-y,z'
'x+1/2,y+1/2,z'
'-x+1/2,-y+1/2,-z'
'-x+1/2,y+1/2,-z'
'x+1/2,-y+1/2,z'
loop_
_atom_site_label
_atom_site_type_symbol
_atom_site_fract_x
_atom_site_fract_y
_atom_site_fract_z
Fe1 Fe 0.1363 0.0000 0.3413
Co1 Co 0.0000 0.5000 0.5000
Br1 Br 0.0000 0.5000 0.0000
```